# Cs3Co2F9 (GGA+U, relaxed)
data_Cs3Co2F9
_chemical_formula_sum 'Cs18 Co12 F54'
_cell_length_a 11.1009
_cell_length_b 11.1009
_cell_length_c 15.1497
_cell_angle_alpha 90.00
_cell_angle_beta 90.00
_cell_angle_gamma 120.00
_space_group_name_H-M_alt 'R -3 c'
_space_group_IT_number 167
_space_group_name_Hall '-R 3 2"c'
loop_
_atom_site_label
_atom_site_fract_x
_atom_site_fract_y
_atom_site_fract_z
_atom_site_occupancy
Cs1 0.0000 0.3432 0.2500 1
Co1 0.0000 0.0000 0.1570 1
F1 0.0000 0.1356 0.7500 1
F2 0.0021 0.1500 0.3997 1
# DFT total energy (eV per atom): -4.509
# Total magnetic moment (μB per atom): 0.571
# DOS(E_F) (states/eV per cell): 0.00
# Volume (Å³ per cell): 1616.8